Version A
Here is crystalline Nd3GaRh at its relaxed geometry from Alexandria via LeMat-Bulk. Energies are from PBE.

The structure belongs to space group C2/m (No. 12); the cell edges are 10.1280, 6.5638 and 9.0240 Å and the angles 90.00°, 117.10° and 90.00°. The inequivalent atoms are Nd at (0.0286, 0.0000, 0.2561), Nd at (0.1891, 0.5000, 0.8707), Nd at (0.2003, 0.5000, 0.3218), Ga at (0.0000, 0.3055, 0.5000) and Rh at (0.0000, 0.2779, 0.0000).

Version B
Here is crystalline Nd3GaRh at its relaxed geometry from Alexandria via LeMat-Bulk. Energies are from PBE.

The structure belongs to space group Pm (No. 6); the cell edges are 7.2006, 5.2262 and 7.5611 Å and the angles 90.00°, 97.49° and 90.00°. The inequivalent atoms are Nd at (0.0000, 0.0000, 0.0000), Nd at (0.0106, 0.5000, 0.6730), Nd at (0.2738, 0.5000, 0.2883), Nd at (0.4537, 0.5000, 0.8477), Nd at (0.5458, 0.0000, 0.5148), Nd at (0.7751, 0.5000, 0.2215), Ga at (0.0529, 0.0000, 0.4111), Ga at (0.4614, 0.0000, 0.0762), Rh at (0.2378, 0.0000, 0.7378) and Rh at (0.6329, 0.5000, 0.5374).

Stability verdict: version A, ahead by 105 meV per atom

Version A
Here is crystalline Nd3GaRh2 at its relaxed geometry from Alexandria via LeMat-Bulk. Energies are from PBE.

The structure belongs to space group C2/m (No. 12); the cell edges are 14.3989, 4.4039 and 10.9247 Å and the angles 90.00°, 110.93° and 90.00°. The inequivalent atoms are Nd at (0.0528, 0.0000, 0.2576), Nd at (0.1447, 0.5000, 0.0031), Nd at (0.2100, 0.0000, 0.6036), Ga at (0.0941, 0.5000, 0.6942), Rh at (0.0938, 0.5000, 0.4498) and Rh at (0.1553, 0.0000, 0.8308).

Version B
Here is crystalline Nd3GaRh2 at its relaxed geometry from Alexandria via LeMat-Bulk. Energies are from PBE.

The structure belongs to space group Pnma (No. 62); the cell edges are 12.2227, 3.9642 and 12.2654 Å and the angles 90.00°, 90.00° and 90.00°. The inequivalent atoms are Nd at (0.0615, 0.2500, 0.1232), Nd at (0.1293, 0.7500, 0.5692), Nd at (0.1977, 0.2500, 0.8204), Ga at (0.1206, 0.2500, 0.3703), Rh at (0.0098, 0.7500, 0.3043) and Rh at (0.1929, 0.7500, 0.9886).

Stability verdict: version B, ahead by 122 meV per atom

Version A
Here is crystalline NdGa4Rh2 at its relaxed geometry from Alexandria via LeMat-Bulk. Energies are from PBE.

The structure belongs to space group I4/mmm (No. 139); the cell edges are 7.4384, 7.4384 and 5.7075 Å and the angles 90.00°, 90.00° and 90.00°. The inequivalent atoms are Nd at (0.0000, 0.0000, 0.0000), Ga at (0.0000, 0.2437, 0.5000) and Rh at (0.0000, 0.5000, 0.2500).

Version B
Here is crystalline NdGa4Rh2 at its relaxed geometry from Alexandria via LeMat-Bulk. Energies are from PBE.

The structure belongs to space group Pnma (No. 62); the cell edges are 17.2674, 4.3755 and 6.5678 Å and the angles 90.00°, 90.00° and 90.00°. The inequivalent atoms are Nd at (0.1388, 0.2500, 0.0094), Ga at (0.0337, 0.7500, 0.1638), Ga at (0.0675, 0.2500, 0.5090), Ga at (0.1875, 0.7500, 0.3060), Ga at (0.1900, 0.7500, 0.7119), Rh at (0.0391, 0.7500, 0.7561) and Rh at (0.2124, 0.2500, 0.5102).

Stability verdict: version B, ahead by 442 meV per atom